Record 1
## MgCdSb2 (SCAN)

Data for MgCdSb2 at its PBEsol-relaxed geometry.

Its energy above the most stable polymorph in this dataset is 52 meV/atom. The value obtained for the uncorrected formation energy is -0.04 eV per atom. For the density of states at the Fermi level, the calculation gives 0.4321 states/eV per atom.

a b c (Å): 11.4022 3.1568 5.4478
angles (deg): 90.00 90.28 90.00
Last column: nearest neighbours and their distance in Å.
Atoms (fractional coordinates):
Mg: 0.0000 0.0000 0.0000  7 Sb 3.01-3.15, 2 Mg 3.16
Mg: 0.5000 0.5000 0.0000  7 Sb 3.01-3.15, 2 Mg 3.16
Cd: 0.2727 0.5000 0.4984  7 Sb 2.93-3.19, 2 Cd 3.16
Cd: 0.7727 0.0000 0.4984  7 Sb 2.93-3.19, 2 Cd 3.16
Sb: 0.0154 0.5000 0.4999  3 Cd 2.93-3.19, 4 Mg 3.15, 2 Sb 3.16
Sb: 0.2641 0.0000 0.9986  3 Mg 3.01-3.12, 4 Cd 3.15, 2 Sb 3.16
Sb: 0.5154 0.0000 0.4999  3 Cd 2.93-3.19, 4 Mg 3.15, 2 Sb 3.16
Sb: 0.7641 0.5000 0.9986  3 Mg 3.01-3.12, 4 Cd 3.15, 2 Sb 3.16



Record 2
## MgCdSb2 (SCAN)

Data for MgCdSb2 at its PBEsol-relaxed geometry.

Its energy above the most stable polymorph in this dataset is 51 meV/atom. The value obtained for the uncorrected formation energy is -0.04 eV per atom. For the density of states at the Fermi level, the calculation gives 0.6226 states/eV per atom.

a b c (Å): 4.1636 4.1636 5.8892
angles (deg): 90.00 90.00 90.00
Last column: nearest neighbours and their distance in Å.
Atoms (fractional coordinates):
Mg: 0.0000 0.0000 0.0000  6 Sb 2.93-2.95
Cd: 0.5000 0.5000 0.5408  6 Sb 2.92-2.97
Sb: 0.0000 0.0000 0.5017  2 Mg 2.93-2.95, 4 Cd 2.95
Sb: 0.5000 0.5000 0.0368  2 Cd 2.92-2.97, 4 Mg 2.95



Record 3
## MgCd2Sb (SCAN)

Data for MgCd2Sb at its PBEsol-relaxed geometry.

The value obtained for the uncorrected formation energy is -0.01 eV per atom. For the density of states at the Fermi level, the calculation gives 0.4130 states/eV per atom.

a b c (Å): 3.3619 4.4417 6.1135
angles (deg): 90.00 90.00 90.00
Last column: nearest neighbours and their distance in Å.
Atoms (fractional coordinates):
Mg: 0.0000 0.0000 0.0000  2 Sb 3.06, 8 Cd 3.14, 2 Mg 3.36
Cd: 0.5000 0.5000 0.2389  2 Cd 2.92-3.19, 4 Mg 3.14, 4 Sb 3.21
Cd: 0.5000 0.5000 0.7611  2 Cd 2.92-3.19, 4 Mg 3.14, 4 Sb 3.21
Sb: 0.0000 0.0000 0.5000  2 Mg 3.06, 8 Cd 3.21, 2 Sb 3.36



Record 4
## Mg2CdSb (SCAN)

Data for Mg2CdSb at its PBEsol-relaxed geometry.

Its energy above the most stable polymorph in this dataset is 0 meV/atom. The value obtained for the uncorrected formation energy is -0.17 eV per atom. For the density of states at the Fermi level, the calculation gives 0.3244 states/eV per atom.

a b c (Å): 3.3405 4.0871 6.4967
angles (deg): 90.00 90.00 90.00
Last column: nearest neighbours and their distance in Å.
Atoms (fractional coordinates):
Mg: 0.0000 0.0000 0.2445  4 Cd 3.08, 4 Sb 3.12, 4 Mg 3.18-3.34
Mg: 0.0000 0.0000 0.7555  4 Cd 3.08, 4 Sb 3.12, 4 Mg 3.18-3.34
Cd: 0.5000 0.5000 0.0000  8 Mg 3.08, 2 Sb 3.25, 2 Cd 3.34
Sb: 0.5000 0.5000 0.5000  8 Mg 3.12, 2 Cd 3.25, 2 Sb 3.34



Record 5
## MgCd2Sb (SCAN)

Data for MgCd2Sb at its PBEsol-relaxed geometry.

The value obtained for the uncorrected formation energy is -0.03 eV per atom. For the density of states at the Fermi level, the calculation gives 0.3337 states/eV per atom.

a b c (Å): 3.2462 3.2462 8.5849
angles (deg): 90.00 90.00 90.00
Last column: nearest neighbours and their distance in Å.
Atoms (fractional coordinates):
Mg: 0.0000 0.0000 0.0000  4 Cd 3.04, 4 Sb 3.15, 4 Mg 3.25
Cd: 0.0000 0.0000 0.4673  8 Cd 3.05-3.25, 4 Sb 3.33
Cd: 0.5000 0.5000 0.2325  4 Mg 3.04, 8 Cd 3.05-3.25
Sb: 0.5000 0.5000 0.7489  4 Mg 3.15, 4 Sb 3.25, 4 Cd 3.33



Record 6
## MgCdSb2 (SCAN)

Data for MgCdSb2 at its PBEsol-relaxed geometry.

Its energy above the most stable polymorph in this dataset is 96 meV/atom. The value obtained for the uncorrected formation energy is 0.01 eV per atom. For the density of states at the Fermi level, the calculation gives 0.4004 states/eV per atom.

a b c (Å): 6.8681 8.5496 3.3676
angles (deg): 90.00 100.66 90.00
Last column: nearest neighbours and their distance in Å.
Atoms (fractional coordinates):
Mg: 0.0000 0.0000 0.0000  8 Sb 3.05-3.38, 2 Mg 3.37
Mg: 0.5000 0.5000 0.0000  8 Sb 3.05-3.38, 2 Mg 3.37
Cd: 0.0000 0.5000 0.0000  8 Sb 3.05-3.38, 2 Cd 3.37
Cd: 0.5000 0.0000 0.0000  8 Sb 3.05-3.38, 2 Cd 3.37
Sb: 0.2500 0.2500 0.5000  4 Cd 3.05-3.38, 4 Mg 3.05-3.38, 2 Sb 3.37
Sb: 0.2500 0.7500 0.5000  4 Mg 3.05-3.38, 4 Cd 3.05-3.38, 2 Sb 3.37
Sb: 0.7500 0.2500 0.5000  4 Cd 3.05-3.38, 4 Mg 3.05-3.38, 2 Sb 3.37
Sb: 0.7500 0.7500 0.5000  4 Cd 3.05-3.38, 4 Mg 3.05-3.38, 2 Sb 3.37



Record 7
## Mg2CdSb (SCAN)

Data for Mg2CdSb at its PBEsol-relaxed geometry.

Its energy above the most stable polymorph in this dataset is 71 meV/atom. The value obtained for the uncorrected formation energy is -0.10 eV per atom. For the density of states at the Fermi level, the calculation gives 0.4754 states/eV per atom.

a b c (Å): 3.3754 3.3754 27.7160
angles (deg): 90.00 90.00 120.00
Last column: nearest neighbours and their distance in Å.
Atoms (fractional coordinates):
Mg: 0.0000 0.0000 0.2470  3 Cd 2.96, 3 Sb 3.09
Mg: 0.0000 0.0000 0.7530  3 Cd 2.96, 3 Sb 3.09
Mg: 0.3333 0.6667 0.4196  3 Cd 2.96, 3 Sb 3.09
Mg: 0.3333 0.6667 0.9137  3 Cd 2.96, 3 Sb 3.09
Mg: 0.6667 0.3333 0.0863  3 Cd 2.96, 3 Sb 3.09
Mg: 0.6667 0.3333 0.5804  3 Cd 2.96, 3 Sb 3.09
Cd: 0.0000 0.0000 0.5000  6 Mg 2.96
Cd: 0.3333 0.6667 0.1667  6 Mg 2.96
Cd: 0.6667 0.3333 0.8333  6 Mg 2.96
Sb: 0.0000 0.0000 0.0000  6 Mg 3.09, 6 Sb 3.38
Sb: 0.3333 0.6667 0.6667  6 Mg 3.09, 6 Sb 3.38
Sb: 0.6667 0.3333 0.3333  6 Mg 3.09, 6 Sb 3.38



Record 8
## MgCd2Sb (SCAN)

Data for MgCd2Sb at its PBEsol-relaxed geometry.

The value obtained for the uncorrected formation energy is -0.03 eV per atom. For the density of states at the Fermi level, the calculation gives 0.4363 states/eV per atom.

a b c (Å): 5.8065 11.3464 3.3777
angles (deg): 90.00 123.39 90.00
Last column: nearest neighbours and their distance in Å.
Atoms (fractional coordinates):
Mg: 0.0000 0.0000 0.0000  4 Sb 2.90-3.01, 4 Cd 3.19
Mg: 0.5000 0.5000 0.0000  4 Sb 2.90-3.01, 4 Cd 3.19
Cd: 0.2500 0.2500 0.0000  4 Cd 2.90-3.01, 2 Mg 3.19, 2 Sb 3.19
Cd: 0.2500 0.7500 0.0000  4 Cd 2.90-3.01, 2 Sb 3.19, 2 Mg 3.19
Cd: 0.7500 0.2500 0.0000  4 Cd 2.90-3.01, 2 Sb 3.19, 2 Mg 3.19
Cd: 0.7500 0.7500 0.0000  4 Cd 2.90-3.01, 2 Mg 3.19, 2 Sb 3.19
Sb: 0.0000 0.5000 0.0000  4 Mg 2.90-3.01, 4 Cd 3.19
Sb: 0.5000 0.0000 0.0000  4 Mg 2.90-3.01, 4 Cd 3.19